DFT (GGA-PBE) results for a relaxed structure of Na2CeScSe4.

Geometry as POSCAR:
```
Na2CeScSe4
1.0
7.1355 0.0000 0.0000
0.0000 4.1251 0.0000
-2.3723 0.0000 6.9733
Na Ce Sc Se
2 1 1 4
Cartesian
0.0000 0.0000 0.0000 Na
3.5678 2.0625 0.0000 Na
-1.1861 2.0625 3.4866 Ce
2.3816 0.0000 3.4866 Sc
0.1304 0.0000 5.1010 Se
1.3040 2.0625 1.9379 Se
3.4593 2.0625 5.0353 Se
4.6329 0.0000 1.8723 Se
```

Computed properties:
As for the raw total energy: -0.1905 Ha/atom.

DFT (GGA-PBE) results for a relaxed structure of Na2CeSc2Se6.

Geometry as POSCAR:
```
Na2CeSc2Se6
1.0
3.4524 -6.0270 0.0000
3.4524 6.0270 0.0000
-2.2955 0.0000 7.0502
Na Ce Sc Se
2 1 2 6
Cartesian
3.4524 4.0508 0.0000 Na
3.4524 -4.0508 0.0000 Na
-1.1478 0.0000 3.5251 Ce
2.3047 2.0139 3.5251 Sc
2.3047 -2.0139 3.5251 Sc
0.0345 2.0893 5.0679 Se
1.2473 0.0000 1.9815 Se
0.0345 -2.0893 5.0679 Se
4.5748 2.0893 1.9823 Se
3.3620 0.0000 5.0687 Se
4.5748 -2.0893 1.9823 Se
```

Computed properties:
As for the raw total energy: -0.1989 Ha/atom.

DFT (GGA-PBE) results for a relaxed structure of NaCe2ScTe4.

Geometry as POSCAR:
```
NaCe2ScTe4
1.0
7.6239 0.0000 0.0000
0.0000 4.4060 0.0000
-2.5353 0.0000 7.2751
Na Ce Sc Te
1 2 1 4
Cartesian
0.0000 0.0000 0.0000 Na
2.5443 0.0000 3.6376 Ce
3.8119 2.2030 0.0000 Ce
-1.2676 2.2030 3.6376 Sc
-0.1121 0.0000 5.3585 Te
1.1577 2.2030 1.8545 Te
3.9309 2.2030 5.4206 Te
5.2007 0.0000 1.9166 Te
```

Computed properties:
As for the raw total energy: -0.1927 Ha/atom.

DFT (GGA-PBE) results for a relaxed structure of Na5CeSe4.

Geometry as POSCAR:
```
Na5CeSe4
1.0
-2.2394 3.9766 8.0292
2.2394 -3.9766 8.0292
2.2394 3.9766 -8.0292
Na Ce Se
5 1 4
Cartesian
0.0000 0.0000 0.0000 Na
2.2394 2.1508 -2.8267 Na
2.2394 2.1508 2.8267 Na
0.0000 1.8258 5.2025 Na
0.0000 1.8258 10.8558 Na
0.0000 3.9766 0.0000 Ce
2.2394 1.9710 0.0000 Se
2.2394 0.0000 4.9169 Se
0.0000 3.9766 3.1123 Se
0.0000 2.0056 8.0292 Se
```

Computed properties:
As for the raw total energy: -0.1430 Ha/atom.

DFT (GGA-PBE) results for a relaxed structure of Na5Ce3Se12.

Geometry as POSCAR:
```
Na5Ce3Se12
1.0
-8.5973 8.5973 8.5973
8.5973 -8.5973 8.5973
8.5973 8.5973 -8.5973
Na Ce Se
20 12 48
Cartesian
0.0000 0.0000 0.0000 Na
4.2987 4.2987 -4.2987 Na
4.2987 -4.2987 4.2987 Na
8.5973 0.0000 0.0000 Na
12.8960 2.1493 0.0000 Na
8.5973 -4.2987 6.4480 Na
6.4480 8.5973 -4.2987 Na
6.4480 0.0000 4.2987 Na
4.2987 6.4480 0.0000 Na
8.5973 4.2987 2.1493 Na
-4.2987 4.2987 4.2987 Na
0.0000 8.5973 0.0000 Na
0.0000 0.0000 8.5973 Na
4.2987 4.2987 4.2987 Na
0.0000 4.2987 6.4480 Na
4.2987 2.1493 8.5973 Na
2.1493 8.5973 4.2987 Na
2.1493 0.0000 12.8960 Na
0.0000 12.8960 2.1493 Na
-4.2987 6.4480 8.5973 Na
4.2987 2.1493 0.0000 Ce
8.5973 4.2987 -2.1493 Ce
2.1493 0.0000 4.2987 Ce
10.7467 0.0000 4.2987 Ce
0.0000 4.2987 2.1493 Ce
4.2987 -2.1493 8.5973 Ce
4.2987 10.7467 0.0000 Ce
8.5973 4.2987 6.4480 Ce
-2.1493 8.5973 4.2987 Ce
6.4480 8.5973 4.2987 Ce
0.0000 4.2987 10.7467 Ce
4.2987 6.4480 8.5973 Ce
2.9290 -0.1904 1.4640 Se
9.9670 5.7627 -4.4891 Se
8.4069 -1.4640 2.9290 Se
13.0864 -1.3696 2.8347 Se
11.5264 0.1904 1.4640 Se
9.9670 -2.8347 4.4891 Se
1.4640 2.9290 -0.1904 Se
11.4320 4.1083 -1.3696 Se
5.7627 4.4891 -1.3696 Se
7.1333 2.9290 0.1904 Se
8.4069 7.1333 -2.9290 Se
4.4891 1.3696 2.8347 Se
-0.1904 1.4640 2.9290 Se
4.4891 -1.3696 5.7627 Se
7.1333 -2.9290 8.4069 Se
5.7627 -4.4891 9.9670 Se
2.8347 4.4891 1.3696 Se
10.0613 5.6683 0.1904 Se
2.9290 8.4069 -1.4640 Se
9.9670 2.8347 4.1083 Se
4.4891 9.9670 -2.8347 Se
8.4069 1.4640 5.6683 Se
1.3696 2.8347 4.4891 Se
2.9290 0.1904 7.1333 Se
5.6683 8.4069 1.4640 Se
7.2277 5.7627 4.1083 Se
0.1904 7.1333 2.9290 Se
4.1083 -1.3696 11.4320 Se
-1.3696 5.7627 4.4891 Se
5.6683 0.1904 10.0613 Se
-1.4640 2.9290 8.4069 Se
5.7627 4.1083 7.2277 Se
2.8347 13.0864 -1.3696 Se
1.4640 11.5264 0.1904 Se
4.1083 9.9670 2.8347 Se
8.7877 7.1333 5.6683 Se
4.1083 7.2277 5.7627 Se
0.1904 1.4640 11.5264 Se
1.4640 5.6683 8.4069 Se
2.8347 4.1083 9.9670 Se
-2.8347 4.4891 9.9670 Se
7.1333 5.6683 8.7877 Se
-1.3696 11.4320 4.1083 Se
-2.9290 8.4069 7.1333 Se
-4.4891 9.9670 5.7627 Se
0.1904 10.0613 5.6683 Se
-1.3696 2.8347 13.0864 Se
5.6683 8.7877 7.1333 Se
```

Computed properties:
As for the raw total energy: -0.1560 Ha/atom.

DFT (GGA-PBE) results for a relaxed structure of NaCe5Se8.

Geometry as POSCAR:
```
NaCe5Se8
1.0
-4.4516 4.4516 4.4750
4.4516 -4.4516 4.4750
4.4516 4.4516 -4.4750
Na Ce Se
1 5 8
Cartesian
0.0000 0.0000 0.0000 Na
2.2097 3.3109 -1.1608 Ce
5.5922 2.2097 1.1608 Ce
2.2418 1.1407 3.3142 Ce
0.0000 4.4516 2.2375 Ce
-1.1407 2.2418 5.6358 Ce
2.9081 0.6612 0.4221 Se
5.1363 2.8568 -1.7061 Se
3.7903 -1.5435 4.0529 Se
-0.6848 1.5948 2.7688 Se
2.8568 3.7668 1.7061 Se
0.6612 5.9951 -0.4221 Se
1.5948 0.6848 6.1811 Se
1.5435 3.7903 4.8970 Se
```

Computed properties:
As for the raw total energy: -0.2197 Ha/atom.

DFT (GGA-PBE) results for a relaxed structure of Na4Ce3Se8.

Geometry as POSCAR:
```
Na4Ce3Se8
1.0
4.2452 2.4510 7.4497
-4.2452 2.4510 7.4497
0.0000 -4.9020 7.4497
Na Ce Se
4 3 8
Cartesian
0.0000 0.0000 0.0000 Na
0.0000 0.0000 3.1141 Na
0.0000 0.0000 11.1745 Na
0.0000 0.0000 19.2350 Na
-2.1226 -1.2255 7.4497 Ce
-2.1226 1.2255 14.8994 Ce
0.0000 2.4510 7.4497 Ce
0.0000 -2.3122 9.0349 Se
-2.0024 1.1561 9.0349 Se
0.0000 0.0000 5.9317 Se
-2.0024 -1.1561 13.3142 Se
2.0024 1.1561 9.0349 Se
0.0000 0.0000 16.4174 Se
2.0024 -1.1561 13.3142 Se
0.0000 2.3122 13.3142 Se
```

Computed properties:
As for the raw total energy: -0.1771 Ha/atom.

DFT (GGA-PBE) results for a relaxed structure of Na3Ce2Se4.

Geometry as POSCAR:
```
Na3Ce2Se4
1.0
3.7005 -2.1364 0.0000
3.7005 2.1364 0.0000
-0.0185 0.0000 17.1886
Na Ce Se
3 2 4
Cartesian
0.0000 0.0000 0.0000 Na
2.4673 0.0000 6.8953 Na
4.9153 0.0000 10.2933 Na
2.4481 0.0000 13.7001 Ce
4.9344 0.0000 3.4885 Ce
0.0004 0.0000 5.1926 Se
2.4675 0.0000 1.8429 Se
4.9151 0.0000 15.3457 Se
7.3822 0.0000 11.9961 Se
```

Computed properties:
As for the raw total energy: -0.1735 Ha/atom.